BaH4O6 | meta-GGA SCAN | PBEsol geometry

Cell and atoms, written as extended XYZ:
```
22
Lattice="6.0821 0.4774 -0.2067 0.0987 6.5665 -0.2043 -1.5008 -1.6120 6.7168" Properties=species:S:1:pos:R:3 pbc="T T T"
O 4.7600 0.3350 3.7708
O 1.5735 0.1938 0.7215
Ba 0.1609 4.0901 4.2997
O 3.9183 1.8372 6.2567
O 4.2326 4.0116 2.2689
H 4.8837 1.0998 4.4209
H 3.7800 0.0859 3.8162
Ba 4.9486 1.2648 1.2365
O 2.2772 1.4143 1.1218
O 2.6889 4.7163 5.5851
O 2.2223 -0.4058 3.8406
H 1.6091 1.7485 2.0503
H 5.2050 4.4755 0.6549
H 3.2611 4.5569 2.3801
H 1.1884 1.1408 3.5707
O 4.0501 4.6668 5.6199
O 0.8485 1.8920 3.0274
O 4.8382 2.3063 5.4491
O 2.0965 5.1978 2.5546
H 1.8902 6.1108 1.2954
H 2.4882 5.5114 4.4806
O 5.0710 4.9696 1.5506
```

Values from the calculation:
volume: 264 Å³ per cell
electronic total energy: -9.26 eV/atom
crystal system: triclinic